Entry 1:
Compound: TbSmLuPu
Source: Alexandria
Functional: PBE
Structure: relaxed

Space group: F-43m, No. 216
Calculated total energy, eV per atom: -6.85
V, Å³/atom: 30.899
Energy of formation, eV per formula unit: 0.800

Unit cell a=5.5912 b=5.5912 c=5.5912 alpha=60.00 beta=60.00 gamma=60.00
With the nearest neighbours (Å) after each atom.
Fractional positions:
Tb: 0.0000 0.0000 0.0000  4 Sm 3.42, 4 Pu 3.42
Sm: 0.2500 0.2500 0.2500  4 Lu 3.42, 4 Tb 3.42
Lu: 0.5000 0.5000 0.5000  4 Pu 3.42, 4 Sm 3.42
Pu: 0.7500 0.7500 0.7500  4 Lu 3.42, 4 Tb 3.42

***

Entry 2:
Compound: Dy6InS3
Source: Alexandria
Functional: PBE
Structure: relaxed

Space group: P2_1/m, No. 11
Calculated total energy, eV per atom: -5.49
V, Å³/atom: 25.249

Unit cell a=11.4092 b=3.7774 c=12.0711 alpha=90.00 beta=103.90 gamma=90.00
With the nearest neighbours (Å) after each atom.
Fractional positions:
Dy: 0.0265 0.2500 0.1403  4 S 2.72-2.83
Dy: 0.1261 0.7500 0.4517  4 S 2.69-2.79
Dy: 0.2032 0.2500 0.7498  3 S 2.73-2.75
Dy: 0.3172 0.2500 0.2763  2 S 2.67
Dy: 0.3190 0.7500 0.0295  2 S 2.78
Dy: 0.4181 0.2500 0.5966  3 S 2.67-2.69
Dy: 0.5819 0.7500 0.4034  3 S 2.67-2.69
Dy: 0.6810 0.2500 0.9705  2 S 2.78
Dy: 0.6828 0.7500 0.7237  2 S 2.67
Dy: 0.7968 0.7500 0.2502  3 S 2.73-2.75
Dy: 0.8739 0.2500 0.5483  4 S 2.69-2.79
Dy: 0.9735 0.7500 0.8597  4 S 2.72-2.83
In: 0.4516 0.7500 0.8245  8 Dy 3.16-3.36
In: 0.5484 0.2500 0.1755  8 Dy 3.16-3.36
S: 0.0390 0.7500 0.6488  6 Dy 2.73-2.82
S: 0.1382 0.2500 0.9549  6 Dy 2.72-2.83
S: 0.3573 0.7500 0.4369  6 Dy 2.67-2.69
S: 0.6427 0.2500 0.5631  6 Dy 2.67-2.69
S: 0.8618 0.7500 0.0451  6 Dy 2.72-2.83
S: 0.9610 0.2500 0.3512  6 Dy 2.73-2.82

***

Entry 3:
Compound: Er2In2PIr4
Source: Alexandria
Functional: PBE
Structure: relaxed

Space group: I4/mmm, No. 139
Calculated total energy, eV per atom: -6.49
V, Å³/atom: 19.113
Energy of formation, eV per formula unit: -2.979

Unit cell a=6.2570 b=6.2570 c=6.2570 alpha=120.45 beta=120.45 gamma=89.22
With the nearest neighbours (Å) after each atom.
Fractional positions:
Er: 0.2038 0.2038 0.0000  1 P 2.64, 4 Ir 2.79
Er: 0.7962 0.7962 0.0000  1 P 2.64, 4 Ir 2.79
In: 0.2500 0.7500 0.5000  8 Ir 3.13, 4 Er 3.13
In: 0.7500 0.2500 0.5000  8 Ir 3.13, 4 Er 3.13
P: 0.5000 0.5000 0.0000  4 Ir 2.27
Ir: 0.2414 0.2414 0.4828  1 P 2.27
Ir: 0.2414 0.7586 0.0000  1 P 2.27
Ir: 0.7586 0.2414 0.0000  1 P 2.27
Ir: 0.7586 0.7586 0.5172  1 P 2.27